Record 1
This record from Alexandria via LeMat-Bulk describes a relaxed K2PO4 crystal. The functional is PBE-GGA.

Summary:
Relative energy among the computed polymorphs: 145 meV/atom
Crystal system: orthorhombic

a b c (Å): 9.7445 11.8272 11.9037
angles (deg): 90.00 90.00 90.00
Space group Fmmm (No. 69)
Inequivalent atoms, fractional coordinates:
K: 0.0000 0.0000 0.2352 [8 per cell]
K: 0.0000 0.2290 0.0000 [8 per cell]
P: 0.2500 0.2500 0.2500 [8 per cell]
O: 0.1582 0.1741 0.1747 [32 per cell]

Record 2
This record from Alexandria via LeMat-Bulk describes a relaxed LiNd4Er3Se8 crystal. The functional is PBE-GGA.

Summary:
Crystal system: trigonal

a b c (Å): 8.1849 8.1849 20.5377
angles (deg): 90.00 90.00 120.00
Space group R-3m (No. 166, hexagonal axes)
Inequivalent atoms, fractional coordinates:
Li: 0.0000 0.0000 0.0000 [3 per cell]
Nd: 0.0000 0.0000 0.5000 [3 per cell]
Nd: 0.0000 0.5000 0.5000 [9 per cell]
Er: 0.0000 0.5000 0.0000 [9 per cell]
Se: 0.0000 0.0000 0.2558 [6 per cell]
Se: 0.0052 0.5026 0.7429 [18 per cell]

Record 3
This record from Alexandria via LeMat-Bulk describes a relaxed SnSbS crystal. The functional is PBE-GGA.

Summary:
Relative energy among the computed polymorphs: 64 meV/atom
Crystal system: monoclinic

a b c (Å): 7.5584 7.0932 7.5786
angles (deg): 90.00 118.06 90.00
Space group P2_1 (No. 4)
Inequivalent atoms, fractional coordinates:
Sn: 0.0017 0.0000 0.2424 [2 per cell]
Sn: 0.4686 0.0053 0.2095 [2 per cell]
Sb: 0.1186 0.4110 0.3701 [2 per cell]
Sb: 0.4949 0.4133 0.3462 [2 per cell]
S: 0.0903 0.1003 0.9461 [2 per cell]
S: 0.3718 0.6063 0.0227 [2 per cell]

Record 4
This record from Alexandria via LeMat-Bulk describes a relaxed La2Tb4Tl3H2 crystal. The functional is PBE-GGA.

Summary:
Crystal system: tetragonal

a b c (Å): 4.8566 4.8566 25.0112
angles (deg): 90.00 90.00 90.00
Space group I4/mmm (No. 139)
Inequivalent atoms, fractional coordinates:
La: 0.0000 0.0000 0.1966 [4 per cell]
Tb: 0.0000 0.5000 0.0815 [8 per cell]
Tl: 0.0000 0.0000 0.3313 [4 per cell]
Tl: 0.0000 0.0000 0.5000 [2 per cell]
H: 0.0000 0.0000 0.0966 [4 per cell]

Record 5
This record from Alexandria via LeMat-Bulk describes a relaxed Nd2ThBr crystal. The functional is PBE-GGA.

Summary:
Relative energy among the computed polymorphs: 100 meV/atom
Crystal system: tetragonal

a b c (Å): 3.6544 3.6544 9.5928
angles (deg): 90.00 90.00 90.00
Space group P4/mmm (No. 123)
Inequivalent atoms, fractional coordinates:
Nd: 0.0000 0.0000 0.2449 [2 per cell]
Th: 0.5000 0.5000 0.5000 [1 per cell]
Br: 0.5000 0.5000 0.0000 [1 per cell]

Which uncorrected energy belongs to each record? In order, -0.2146, -0.2085, -0.1542, -0.1530, -0.1886 Ha/atom.
Which N(E_F) belongs to each record? In order, 38.295, 23.472, 0.366, 19.906, 3.063 states/eV/cell.